The following is a GGA-PBE calculation of an optimized crystal structure of BaMg2In2Hg, from Alexandria.

Computed properties:
total magnetic moment = 0.00 μB per formula unit
ΔE_f = -177 meV/atom

a = 5.073 Å, b = 11.326 Å, c = 6.347 Å
α = 90.00°, β = 90.00°, γ = 90.00°
Positions (direct):
Mg 0.000 0.638 0.480
Mg 0.500 0.862 0.980
Mg 0.500 0.138 0.020
Mg 0.000 0.362 0.520
Ba 0.500 0.500 0.000
Ba 0.000 0.000 0.500
Hg 0.000 0.000 0.000
Hg 0.500 0.500 0.500
In 0.000 0.273 0.017
In 0.500 0.773 0.483
In 0.500 0.227 0.517
In 0.000 0.727 0.983